The following is a DFT calculation (PBE) of a relaxed structure of Ti5In4Ga.

Geometry as extended XYZ:
```
10
Lattice="2.963 0.000 0.000 0.000 2.963 0.000 0.000 0.000 21.090" Properties=species:S:1:pos:R:3 pbc="T T T"
Ti 1.481 1.481 1.823
Ti 1.481 1.481 6.233
Ti 1.481 1.481 10.545
Ti 1.481 1.481 14.857
Ti 1.481 1.481 19.267
In 0.000 0.000 4.045
In 0.000 0.000 8.387
In 0.000 0.000 12.704
In 0.000 0.000 17.045
Ga 0.000 0.000 0.000
```

Results
symmetry = No. 123
energy of formation = -0.21 eV per atom
total magnetic moment = 0.00 μB/f.u.
energy above the most stable polymorph in this dataset = 0.000 eV/atom



The following is a DFT calculation (PBE) of a relaxed structure of PuSc2Ir9.

Geometry as extended XYZ:
```
12
Lattice="-3.239 -1.753 -3.735 0.261 -5.000 -1.562 -6.784 -4.443 4.285" Properties=species:S:1:pos:R:3 pbc="T T T"
Pu 0.000 0.000 0.000
Sc -5.409 -7.673 -2.757
Sc -4.353 -3.523 1.745
Ir -1.997 -4.506 -3.519
Ir -7.765 -6.690 2.507
Ir -4.881 -5.598 -0.506
Ir -2.950 -3.922 -1.111
Ir -4.583 -4.805 -2.993
Ir -2.819 -6.442 -1.898
Ir -6.811 -7.274 0.098
Ir -6.943 -4.754 0.886
Ir -5.179 -6.391 1.981
```

Results
symmetry = No. 166
energy of formation = -0.49 eV per atom
total magnetic moment = 4.18 μB/f.u.



The following is a DFT calculation (PBE) of a relaxed structure of TaMn2Al2.

Geometry as extended XYZ:
```
10
Lattice="-4.542 2.401 5.001 -4.932 -4.707 -2.220 0.987 -1.883 1.800" Properties=species:S:1:pos:R:3 pbc="T T T"
Mn -3.584 -3.687 0.263
Mn -6.643 -3.239 2.409
Mn -4.903 -0.502 4.318
Mn -1.844 -0.950 2.172
Al -6.001 -3.214 -0.072
Al -7.058 -0.855 2.975
Al -3.473 0.908 2.854
Al -2.417 -1.452 -0.193
Ta 0.000 0.000 0.000
Ta -4.737 -1.153 1.391
```

Results
symmetry = No. 127
energy of formation = -0.11 eV per atom
total magnetic moment = 3.97 μB/f.u.
energy above the most stable polymorph in this dataset = 0.000 eV/atom



The following is a DFT calculation (PBE) of a relaxed structure of PmPbS2O8.

Geometry as extended XYZ:
```
12
Lattice="-2.477 -0.901 5.210 5.771 0.798 -0.390 -0.911 6.965 0.771" Properties=species:S:1:pos:R:3 pbc="T T T"
Pm 0.000 0.000 0.000
Pb -0.455 3.482 0.385
S 2.344 5.410 2.050
S 0.039 1.452 3.541
O 1.019 5.826 1.491
O 3.422 6.158 1.329
O 2.391 5.783 3.499
O -0.008 1.079 2.092
O -0.150 2.897 3.701
O 2.533 3.965 1.890
O 1.364 1.036 4.099
O -1.039 0.704 4.262
```

Results
symmetry = No. 164
total magnetic moment = 0.01 μB/f.u.
raw formation energy = -1693.6 meV/atom



The following is a DFT calculation (PBE) of a relaxed structure of PuIO5.

Geometry as extended XYZ:
```
14
Lattice="3.645 4.462 -0.301 -3.645 4.462 -0.301 0.000 3.851 6.998" Properties=species:S:1:pos:R:3 pbc="T T T"
Pu 0.000 0.000 0.000
Pu 0.000 1.926 3.499
I -0.221 7.350 4.948
I 0.221 5.425 1.449
O -3.118 5.425 1.449
O 3.118 7.350 4.948
O 0.148 3.738 2.546
O 0.148 7.111 0.351
O 1.398 4.647 0.257
O 1.398 6.202 2.641
O -1.398 8.128 6.140
O -1.398 6.573 3.756
O -0.148 5.664 6.045
O -0.148 9.037 3.850
```

Results
symmetry = No. 15
total magnetic moment = 3.00 μB/f.u.
raw formation energy = -1483.3 meV/atom



The following is a DFT calculation (PBE) of a relaxed structure of Y2RhCl.

Geometry as extended XYZ:
```
4
Lattice="-1.855 3.047 4.680 -4.199 0.574 4.083 2.284 -2.828 2.747" Properties=species:S:1:pos:R:3 pbc="T T T"
Cl -2.198 0.766 5.451
Rh -2.463 0.193 8.862
Y 1.989 -2.469 2.418
Y -0.699 -0.131 3.281
```

Results
symmetry = No. 38
total magnetic moment = 0.00 μB/f.u.
raw formation energy = -899.6 meV/atom
energy above the most stable polymorph in this dataset = 0.259 eV/atom